A plane-wave DFT calculation with PBE-GGA was carried out for a geometry-optimized Er2P4O13 structure.

abc: 9.0406 9.4736 13.9513
angles: 90.00 107.79 90.00
Element x y z (fractional)
Er: 0.0261 0.0028 0.2206
Er: 0.0261 0.4972 0.7206
Er: 0.4432 0.0026 0.2282
Er: 0.4432 0.4974 0.7282
Er: 0.5568 0.5026 0.2718
Er: 0.5568 0.9974 0.7718
Er: 0.9739 0.5028 0.2794
Er: 0.9739 0.9972 0.7794
P: 0.1707 0.2343 0.4388
P: 0.1707 0.2657 0.9388
P: 0.2152 0.2011 0.6580
P: 0.2152 0.2989 0.1580
P: 0.2888 0.7383 0.3419
P: 0.2888 0.7617 0.8419
P: 0.4894 0.7409 0.0569
P: 0.4894 0.7591 0.5569
P: 0.5106 0.2409 0.4431
P: 0.5106 0.2591 0.9431
P: 0.7112 0.2383 0.1581
P: 0.7112 0.2617 0.6581
P: 0.7848 0.7011 0.8420
P: 0.7848 0.7989 0.3420
P: 0.8293 0.7343 0.0612
P: 0.8293 0.7657 0.5612
O: 0.0775 0.1316 0.9132
O: 0.0775 0.3684 0.4132
O: 0.1085 0.1220 0.7041
O: 0.1085 0.3780 0.2041
O: 0.1324 0.1186 0.3620
O: 0.1324 0.3814 0.8620
O: 0.1403 0.6686 0.3461
O: 0.1403 0.8314 0.8461
O: 0.1488 0.1685 0.5386
O: 0.1488 0.3315 0.0386
O: 0.2108 0.1353 0.1697
O: 0.2108 0.3647 0.6697
O: 0.2545 0.6313 0.7707
O: 0.2545 0.8687 0.2707
O: 0.3521 0.2228 0.9696
O: 0.3521 0.2772 0.4696
O: 0.3750 0.6907 0.9508
O: 0.3750 0.8093 0.4508
O: 0.3814 0.1486 0.6931
O: 0.3814 0.3514 0.1931
O: 0.4004 0.6365 0.3173
O: 0.4004 0.8635 0.8173
O: 0.4294 0.6254 0.5900
O: 0.4294 0.8746 0.0900
O: 0.4847 0.1162 0.3736
O: 0.4847 0.3838 0.8736
O: 0.5153 0.6162 0.1264
O: 0.5153 0.8838 0.6264
O: 0.5706 0.1254 0.9100
O: 0.5706 0.3746 0.4100
O: 0.5996 0.1365 0.1827
O: 0.5996 0.3635 0.6827
O: 0.6186 0.6486 0.8069
O: 0.6186 0.8514 0.3069
O: 0.6250 0.1907 0.5492
O: 0.6250 0.3093 0.0492
O: 0.6479 0.7228 0.5304
O: 0.6479 0.7772 0.0304
O: 0.7455 0.1313 0.7293
O: 0.7455 0.3687 0.2293
O: 0.7892 0.6353 0.3303
O: 0.7892 0.8647 0.8303
O: 0.8512 0.6685 0.9614
O: 0.8512 0.8315 0.4614
O: 0.8597 0.1686 0.1539
O: 0.8597 0.3314 0.6539
O: 0.8676 0.6186 0.1380
O: 0.8676 0.8814 0.6380
O: 0.8915 0.6220 0.7959
O: 0.8915 0.8780 0.2959
O: 0.9225 0.6316 0.5868
O: 0.9225 0.8684 0.0868

Properties
Fermi-level density of states: 0.00 states/eV per cell
Energy above the lowest structure with this stoichiometry: 0.000 eV per atom
Formation energy from raw total energies: -2.687 eV per atom
Space-group type: P2_1/c
DFT total energy: -7.699 eV per atom
Density: 3.890 g/cm³